Entry 1:
The following is a GGA-PBE calculation of a geometry-optimized Ca2Ni3As4Pd structure, from Alexandria via LeMat-Bulk.

Geometry as POSCAR:
```
Ca2Ni3As4Pd
1.0
4.234 0.000 0.000
0.000 4.234 0.000
0.000 0.000 9.655
Ca Ni As Pd
2 3 4 1
Cartesian
0.000 2.117 2.396
2.117 0.000 7.259
0.000 2.117 8.519
2.117 0.000 1.136
2.117 2.117 4.827
0.000 0.000 0.000
0.000 2.117 6.187
2.117 0.000 3.468
2.117 2.117 0.000
0.000 0.000 4.827
```

Space group: P-4m2 (115)
E: -52.0 eV for the cell shown


Entry 2:
The following is a GGA-PBE calculation of a geometry-optimized Cu2AsS4 structure, from Alexandria via LeMat-Bulk.

Geometry as POSCAR:
```
Cu2AsS4
1.0
-2.705 2.705 4.929
2.705 -2.705 4.929
2.705 2.705 -4.929
Cu As S
2 1 4
Cartesian
2.705 0.000 2.464
0.000 2.705 2.464
0.000 0.000 0.000
1.379 -1.379 3.706
1.325 1.325 1.223
-1.379 1.379 3.706
1.379 1.379 6.152
```

Energy relative to the lowest polymorph listed for this composition: 0.0 meV per atom
Space group: I-42m (121)
Uncorrected formation energy: -0.114 eV/atom